Material: Ca2FeWO6
Method: DFT, PBE with a Hubbard U
State: relaxed

## Properties
The calculation puts the total energy at -7.095 eV per atom. The density of states at the Fermi level comes out at 0.00 states/eV per atom.

a b c (Å): 5.501 5.648 7.938
angles (deg): 90.00 90.09 90.00
Last column: magnetic moment on the atom in μB.
Fractional coordinates of all 20 atoms:
Ca 0.986 0.054 0.254  0.00
Ca 0.014 0.946 0.746  0.00
Ca 0.486 0.446 0.754  0.00
Ca 0.514 0.554 0.246  0.00
O 0.815 0.783 0.059  0.02
O 0.185 0.217 0.941  0.02
O 0.685 0.283 0.441  0.02
O 0.788 0.805 0.452  0.02
O 0.899 0.538 0.766  0.02
O 0.212 0.195 0.548  0.02
O 0.101 0.462 0.234  0.02
O 0.288 0.695 0.952  0.02
O 0.315 0.717 0.559  0.02
O 0.601 0.038 0.734  0.02
O 0.399 0.962 0.266  0.02
O 0.712 0.305 0.048  0.02
W 0.000 0.500 0.000  0.05
W 0.500 0.000 0.500  0.05
Fe 0.500 0.000 0.000  3.76
Fe 0.000 0.500 0.500  3.76